Ce7GeC2 | GGA-PBE | relaxed

Energy of formation ... 0.24 eV per formula unit
M_tot ... 5.20 μB/cell
Fermi-level density of states ... 2.477 states/eV per atom
DFT total energy ... -6.4362 eV per atom
Density ... 7.40 g cm⁻³
V ... 241.7 Å³/cell

The structure in POSCAR format:
```
Ce7GeC2
1.0
4.864 0.000 0.000
0.000 7.455 -0.028
0.000 -3.314 6.678
Ce Ge C
7 1 2
direct
0.000 0.694 0.306 Ce
0.000 0.306 0.694 Ce
0.500 0.053 0.317 Ce
0.500 0.947 0.683 Ce
0.500 0.317 0.053 Ce
0.500 0.683 0.947 Ce
0.500 0.500 0.500 Ce
0.000 0.000 0.000 Ge
0.500 0.706 0.294 C
0.500 0.294 0.706 C
```